1.
The following is a SCAN calculation of a PBEsol-optimized structure of MgTcAs2, from Alexandria via LeMat-Bulk.

```
data_MgTcAs2
_chemical_formula_sum 'Mg1 Tc1 As2'
_symmetry_space_group_name_H-M 'P 1'
_symmetry_Int_Tables_number 1
_symmetry_space_group_name_Hall 'P 1'
_cell_length_a 3.2092
_cell_length_b 4.4529
_cell_length_c 4.4529
_cell_angle_alpha 99.51
_cell_angle_beta 89.94
_cell_angle_gamma 89.94
loop_
_atom_site_label
_atom_site_type_symbol
_atom_site_fract_x
_atom_site_fract_y
_atom_site_fract_z
As1 As 0.0000 0.0000 0.5000
As2 As 0.0000 0.5000 0.0000
Tc1 Tc 0.5000 0.0000 0.0000
Mg1 Mg 0.5000 0.5000 0.5000
```

Summary:
VASP energy (eV/atom): -20.053
Symmetry: Cmmm
Density (g/cm³): 7.20
Formation energy (eV per atom): 0.0509

=====

2.
The following is a SCAN calculation of a PBEsol-optimized structure of MgTe2As, from Alexandria via LeMat-Bulk.

```
data_MgTe2As
_chemical_formula_sum 'Mg1 Te2 As1'
_symmetry_space_group_name_H-M 'P 1'
_symmetry_Int_Tables_number 1
_symmetry_space_group_name_Hall 'P 1'
_cell_length_a 4.0177
_cell_length_b 3.9912
_cell_length_c 6.6066
_cell_angle_alpha 90.00
_cell_angle_beta 90.00
_cell_angle_gamma 90.00
loop_
_atom_site_label
_atom_site_type_symbol
_atom_site_fract_x
_atom_site_fract_y
_atom_site_fract_z
Mg1 Mg 0.0000 0.5000 0.5000
Te1 Te 0.0000 0.0000 0.0000
Te2 Te 0.5000 0.0000 0.5000
As1 As 0.5000 0.5000 0.0000
```

Summary:
VASP energy (eV/atom): -24.952
Symmetry: Pmmm
Density (g/cm³): 5.56
ΔE to the lowest computed polymorph (eV/atom): 0.0000
Energy relative to the elements, uncorrected (eV/atom): -0.036

=====

The highest VASP energy belongs to which entry? MgTcAs2

=====

What did the first record say?
The following is a SCAN calculation of a PBEsol-optimized structure of MgTcAs2, from Alexandria via LeMat-Bulk.

```
data_MgTcAs2
_chemical_formula_sum 'Mg1 Tc1 As2'
_symmetry_space_group_name_H-M 'P 1'
_symmetry_Int_Tables_number 1
_symmetry_space_group_name_Hall 'P 1'
_cell_length_a 3.2092
_cell_length_b 4.4529
_cell_length_c 4.4529
_cell_angle_alpha 99.51
_cell_angle_beta 89.94
_cell_angle_gamma 89.94
loop_
_atom_site_label
_atom_site_type_symbol
_atom_site_fract_x
_atom_site_fract_y
_atom_site_fract_z
As1 As 0.0000 0.0000 0.5000
As2 As 0.0000 0.5000 0.0000
Tc1 Tc 0.5000 0.0000 0.0000
Mg1 Mg 0.5000 0.5000 0.5000
```

Summary:
VASP energy (eV/atom): -20.053
Symmetry: Cmmm
Density (g/cm³): 7.20
Formation energy (eV per atom): 0.0509

=====

VASP energy of number 1 (MgTcAs2)? -20.053 eV/atom